[1]
# YCd3S

An optimized crystal structure of YCd3S (GGA-PBE, Alexandria). Values from VASP.

Cell and atoms, written as Quantum ESPRESSO input:
```
&SYSTEM
  ibrav = 0, nat = 5, ntyp = 3
/
ATOMIC_SPECIES
Y 88.91 Y.upf
Cd 112.41 Cd.upf
S 32.06 S.upf
CELL_PARAMETERS angstrom
5.898 0.000 0.000
0.000 5.898 0.000
0.000 0.000 5.898
ATOMIC_POSITIONS angstrom
Y 0.000 0.000 0.000
Cd 0.000 0.000 2.949
Cd 0.000 2.949 0.000
Cd 2.949 0.000 0.000
S 2.949 2.949 2.949
```

Computed properties:
Distance to the lowest polymorph of the same formula: 0.6004 eV per atom
Spin magnetization: 0.05 μB/atom
Uncorrected energy: -9.05 eV/cell
Uncorrected formation energy: 0.8573 eV per atom



[2]
# LaPm5Nd5

An optimized crystal structure of LaPm5Nd5 (GGA-PBE, Alexandria). Values from VASP.

Cell and atoms, written as Quantum ESPRESSO input:
```
&SYSTEM
  ibrav = 0, nat = 11, ntyp = 3
/
ATOMIC_SPECIES
La 138.91 La.upf
Pm 145.00 Pm.upf
Nd 144.24 Nd.upf
CELL_PARAMETERS angstrom
7.092 0.000 0.000
2.226 6.746 0.000
2.011 1.546 8.257
ATOMIC_POSITIONS angstrom
La 0.000 0.000 0.000
Pm 3.620 4.801 2.417
Pm 4.130 2.990 5.354
Pm 3.546 0.000 0.000
Pm 7.199 5.302 2.903
Pm 7.710 3.492 5.840
Nd 1.113 3.373 0.000
Nd 2.070 1.514 2.931
Nd 5.685 6.248 5.931
Nd 5.644 2.045 2.326
Nd 9.259 6.778 5.326
```

Computed properties:
E_form: 137 meV per atom
Distance to the lowest polymorph of the same formula: 0.0000 eV per atom
Spin magnetization: 0.00 μB/atom
Uncorrected energy: -51.01 eV/cell